This record from the Alexandria database describes an optimized crystal structure of Mn3CrMo. The functional is PBE.

Output
* DOS(E_F): 1.434 states/eV per atom
* symmetry: No. 221
* energy of formation: 1.145 eV per atom
* relative energy among the computed polymorphs: 0.0 meV per atom
* magnetic moment: 1.636 μB/f.u.

a b c (Å): 4.1706 4.1706 4.1706
angles (deg): 90.00 90.00 90.00
Last column: magnetic moment on the atom in μB.
Element x y z (fractional)
Mn  0.5000  0.0000  0.0000  1.37
Mn  0.0000  0.5000  0.0000  1.68
Mo  0.5000  0.5000  0.5000  -1.88
Mn  0.0000  0.0000  0.5000  1.61
Cr  0.0000  0.0000  0.0000  -0.99